*A*
# Mn2ClO (GGA+U, optimized geometry)
# Symmetry = No. 122
data_Mn2ClO
_symmetry_space_group_name_H-M 'P 1'
_symmetry_Int_Tables_number 1
_cell_length_a 5.456
_cell_length_b 5.456
_cell_length_c 6.496
_cell_angle_alpha 65.17
_cell_angle_beta 65.17
_cell_angle_gamma 90.00
loop_
_symmetry_equiv_pos_as_xyz
'x,y,z'
loop_
_atom_site_label
_atom_site_type_symbol
_atom_site_fract_x
_atom_site_fract_y
_atom_site_fract_z
_atom_site_occupancy
Mn1 Mn 0.532 0.125 0.250 1
Mn2 Mn 0.218 0.625 0.250 1
Mn3 Mn 0.375 0.468 0.750 1
Mn4 Mn 0.875 0.782 0.750 1
O1 O 0.500 0.500 0.000 1
O2 O 0.250 0.750 0.500 1
Cl1 Cl 0.000 0.000 0.000 1
Cl2 Cl 0.750 0.250 0.500 1


*B*
# Mn2ClO (GGA+U, optimized geometry)
# Symmetry = No. 225
data_Mn2ClO
_symmetry_space_group_name_H-M 'P 1'
_symmetry_Int_Tables_number 1
_cell_length_a 4.313
_cell_length_b 4.313
_cell_length_c 4.313
_cell_angle_alpha 60.00
_cell_angle_beta 60.00
_cell_angle_gamma 60.00
loop_
_symmetry_equiv_pos_as_xyz
'x,y,z'
loop_
_atom_site_label
_atom_site_type_symbol
_atom_site_fract_x
_atom_site_fract_y
_atom_site_fract_z
_atom_site_occupancy
Mn1 Mn 0.250 0.250 0.250 1
Mn2 Mn 0.750 0.750 0.750 1
O1 O 0.000 0.000 0.000 1
Cl1 Cl 0.500 0.500 0.500 1


Energy ordering: *A* at the bottom, the next structure 662 meV/atom above.


*A*
# MnPCl2O (GGA+U, optimized geometry)
# Symmetry = No. 123
data_MnPCl2O
_symmetry_space_group_name_H-M 'P 1'
_symmetry_Int_Tables_number 1
_cell_length_a 4.724
_cell_length_b 4.724
_cell_length_c 5.256
_cell_angle_alpha 90.00
_cell_angle_beta 90.00
_cell_angle_gamma 90.00
loop_
_symmetry_equiv_pos_as_xyz
'x,y,z'
loop_
_atom_site_label
_atom_site_type_symbol
_atom_site_fract_x
_atom_site_fract_y
_atom_site_fract_z
_atom_site_occupancy
P1 P 0.000 0.000 0.500 1
Mn1 Mn 0.000 0.000 0.000 1
O1 O 0.500 0.500 0.500 1
Cl1 Cl 0.000 0.500 0.000 1
Cl2 Cl 0.500 0.000 0.000 1


*B*
# MnPCl2O (GGA+U, optimized geometry)
# Symmetry = No. 123
data_MnPCl2O
_symmetry_space_group_name_H-M 'P 1'
_symmetry_Int_Tables_number 1
_cell_length_a 5.563
_cell_length_b 5.563
_cell_length_c 3.345
_cell_angle_alpha 90.00
_cell_angle_beta 90.00
_cell_angle_gamma 90.00
loop_
_symmetry_equiv_pos_as_xyz
'x,y,z'
loop_
_atom_site_label
_atom_site_type_symbol
_atom_site_fract_x
_atom_site_fract_y
_atom_site_fract_z
_atom_site_occupancy
P1 P 0.000 0.000 0.500 1
Mn1 Mn 0.500 0.500 0.500 1
O1 O 0.000 0.000 0.000 1
Cl1 Cl 0.000 0.500 0.000 1
Cl2 Cl 0.500 0.000 0.000 1


Energy ordering: *B* at the bottom, the next structure 492 meV/atom above.